Entry a
Here is a geometry-optimized K2Rb3 structure from Alexandria. Energies are from PBE.

```
10
Lattice="6.456 -9.004 0.000 6.456 9.004 0.000 -3.437 0.000 7.441" Properties=species:S:1:pos:R:3 pbc="T T T"
K 1.510 4.502 3.720
K 6.456 6.774 0.000
K 1.510 -4.502 3.720
K 6.456 -6.774 0.000
Rb 0.611 0.000 4.332
Rb 4.481 2.385 1.187
Rb 4.995 2.385 6.254
Rb 4.481 -2.385 1.187
Rb 4.995 -2.385 6.254
Rb 8.864 0.000 3.109
```

## Properties
Fermi-level density of states: 7.9 states/eV/cell
Crystal system: monoclinic
Total magnetic moment: 0.00 μB/cell

---

Entry b
Here is a geometry-optimized K2Rb3 structure from Alexandria. Energies are from PBE.

```
10
Lattice="6.704 3.870 5.480 -6.704 3.870 5.480 0.000 -7.741 5.480" Properties=species:S:1:pos:R:3 pbc="T T T"
K 0.000 0.000 2.049
K 0.000 0.000 6.171
K 0.000 0.000 10.268
K 0.000 0.000 14.390
Rb -4.502 -0.057 6.849
Rb -2.202 -3.927 9.589
Rb 2.300 -3.870 6.849
Rb -2.300 3.870 9.589
Rb 2.202 3.927 6.849
Rb 4.502 0.057 9.589
```

## Properties
Fermi-level density of states: 8.9 states/eV/cell
Crystal system: trigonal
Total magnetic moment: 0.00 μB/cell

---

Name the most stable of them. entry b.